MgBiF6: relaxed, PBEsol.

E   -38.249 eV/f.u.
Magnetic moment   0.79 μB/f.u.
Raw formation energy   -1996 kJ/mol of formula units
SG   No. 148

Cell lengths 5.312, 5.312, 5.697 Å; angles 62.21, 62.21, 60.00 degrees
Site moments in Bohr magnetons follow the coordinates.
Sites, in units of the cell vectors:
Mg1 0.500 0.500 0.500  0.01
Bi1 0.000 0.000 0.000  0.17
F1 0.262 0.871 0.259  0.09
F2 0.607 0.262 0.259  0.09
F3 0.129 0.393 0.741  0.09
F4 0.393 0.738 0.741  0.09
F5 0.738 0.129 0.741  0.09
F6 0.871 0.607 0.259  0.09